VASP calculation (PBE) on crystalline Er6GeSb2Te3 at its relaxed geometry.

Summary:
symmetry: C2/m (12)
magnetic moment: 0.0 Bohr magnetons per cell
formation energy from raw total energies: -1.204 eV per atom

```
Er6GeSb2Te3
1.0
4.295 0.000 0.000
0.000 8.647 0.300
-2.147 -2.501 9.084
Sb Er Te Ge
2 6 3 1
direct
0.167 0.333 0.334 Sb
0.833 0.667 0.666 Sb
0.001 0.223 0.002 Er
0.346 0.918 0.692 Er
0.999 0.777 0.998 Er
0.667 0.576 0.335 Er
0.333 0.424 0.665 Er
0.654 0.082 0.308 Er
0.170 0.835 0.340 Te
0.500 0.500 0.000 Te
0.830 0.165 0.660 Te
0.500 0.000 0.000 Ge
```


VASP calculation (PBE) on crystalline ErSc2Ge at its relaxed geometry.

Summary:
symmetry: R-3m (166)
magnetic moment: 0.5 Bohr magnetons per cell
energy above the most stable polymorph in this dataset: 468.1 meV per atom
DFT formation energy: -0.0304 eV per atom

```
ErSc2Ge
1.0
-1.497 1.419 2.631
-1.929 -1.839 2.019
7.104 -2.338 7.427
Sc Ge Er
2 1 1
direct
0.897 0.897 0.309 Sc
0.103 0.103 0.691 Sc
0.500 0.500 0.500 Ge
0.000 0.000 0.000 Er
```